Entry 1:
The following is a SCAN calculation of a crystal of Cu2MoPb relaxed with PBEsol, from the Alexandria database.

Structure (extended XYZ):
```
4
Lattice="-1.3990 -2.3441 -2.7225 3.3682 -2.1259 0.0997 -1.5582 -2.3369 2.8128" Properties=species:S:1:pos:R:3 pbc="T T T"
Cu 0.0000 0.0000 0.0000
Cu 0.9050 -2.2314 1.4562
Mo 0.9846 -2.2350 -1.3114
Pb -1.4786 -2.3405 0.0452
```

Output
Calculated formation energy in meV/atom: 469
Size of the total moment in μB per atom: 0.000


Entry 2:
The following is a SCAN calculation of a crystal of Li2CuTe relaxed with PBEsol, from the Alexandria database.

Structure (extended XYZ):
```
4
Lattice="-1.9155 2.0713 -2.3529 1.7020 -1.6340 -2.8158 -3.7525 -3.6445 -0.1533" Properties=species:S:1:pos:R:3 pbc="T T T"
Te -0.1068 0.2187 -2.5844
Cu -1.9830 -1.6036 -2.6610
Li -2.8296 -2.7482 -0.1156
Li -0.9229 -0.8964 -0.0377
```

Output
Size of the total moment in μB per atom: 0.000
E_form (uncorrected) in eV/atom: -0.255


Entry 3:
The following is a SCAN calculation of a crystal of Sr3CaSe relaxed with PBEsol, from the Alexandria database.

Structure (extended XYZ):
```
5
Lattice="6.0469 0.0000 0.0000 0.0000 6.0469 0.0000 0.0000 0.0000 6.0469" Properties=species:S:1:pos:R:3 pbc="T T T"
Sr 3.0235 0.0000 0.0000
Sr 0.0000 0.0000 3.0235
Se 0.0000 0.0000 0.0000
Sr 0.0000 3.0235 0.0000
Ca 3.0235 3.0235 3.0235
```

Output
Size of the total moment in μB per atom: 0.000
E_form (uncorrected) in eV/atom: -0.791


Entry 4:
The following is a SCAN calculation of a crystal of TiMoRh3 relaxed with PBEsol, from the Alexandria database.

Structure (extended XYZ):
```
5
Lattice="4.4138 0.0000 0.0000 0.0000 4.4138 0.0000 0.0000 0.0000 4.4138" Properties=species:S:1:pos:R:3 pbc="T T T"
Rh 0.0000 0.0000 2.2069
Rh 0.0000 2.2069 0.0000
Mo 2.2069 2.2069 2.2069
Rh 2.2069 0.0000 0.0000
Ti 0.0000 0.0000 0.0000
```

Output
Calculated formation energy in meV/atom: 822
Size of the total moment in μB per atom: 0.629


Entry 5:
The following is a SCAN calculation of a crystal of Co2SeBr relaxed with PBEsol, from the Alexandria database.

Structure (extended XYZ):
```
4
Lattice="-0.3285 0.9791 3.4623 -1.7590 -3.0771 0.7033 5.0699 -2.6185 1.2236" Properties=species:S:1:pos:R:3 pbc="T T T"
Se 1.7171 -0.3809 2.6279
Co 0.6339 -0.2262 0.5958
Co -0.4098 -1.2753 2.6783
Br 3.4118 -3.6538 1.8300
```

Output
Size of the total moment in μB per atom: 1.190
E_form (uncorrected) in eV/atom: -0.148


Entry 6:
The following is a SCAN calculation of a crystal of Be2HAu relaxed with PBEsol, from the Alexandria database.

Structure (extended XYZ):
```
4
Lattice="-1.8336 3.1236 1.3325 -0.9795 0.2196 3.7266 1.8345 2.4648 2.3354" Properties=species:S:1:pos:R:3 pbc="T T T"
H 0.0000 0.0000 0.0000
Be -0.2447 1.4520 1.8486
Be -0.7340 4.3560 5.5459
Au -0.4893 2.9040 3.6972
```

Output
Size of the total moment in μB per atom: 0.000
Raw total energy in eV/atom: -19.9640